A relaxed SrMnRu2 crystal. Source: Alexandria via LeMat-Bulk, functional PBE.

Summary:
V   19.51 Å³ per atom

abc: 2.9479 3.6346 7.2824
angles: 90.00 90.00 90.00
Fractional positions:
Mn1 0.5000 0.5000 0.8279
Ru1 0.0000 0.0000 0.0127
Ru2 0.5000 0.5000 0.1703
Sr1 0.0000 0.0000 0.4891

***

A relaxed Sr2MnRu crystal. Source: Alexandria via LeMat-Bulk, functional PBE.

Summary:
V   30.13 Å³ per atom

abc: 4.0094 4.0094 8.9651
angles: 76.98 76.98 60.01
Fractional positions:
Mn1 0.5443 0.5443 0.3671
Ru1 0.2058 0.2058 0.3827
Sr1 0.9644 0.9644 0.1071
Sr2 0.7854 0.7854 0.6432

***

A relaxed SrMnRu2 crystal. Source: Alexandria via LeMat-Bulk, functional PBE.

Summary:
V   17.92 Å³ per atom

abc: 4.6625 4.6625 4.6625
angles: 119.99 119.99 90.02
Fractional positions:
Mn1 0.7500 0.2500 0.5000
Ru1 0.0000 0.0000 0.0000
Ru2 0.2500 0.7500 0.5000
Sr1 0.5000 0.5000 0.0000

***

A relaxed SrMnRu2 crystal. Source: Alexandria via LeMat-Bulk, functional PBE.

Summary:
V   16.54 Å³ per atom

abc: 4.5394 4.5394 4.5394
angles: 60.00 60.00 60.00
Fractional positions:
Ru1 0.2500 0.2500 0.2500
Ru2 0.7500 0.7500 0.7500
Mn1 0.0000 0.0000 0.0000
Sr1 0.5000 0.5000 0.5000

***

A relaxed Sr2MnRu crystal. Source: Alexandria via LeMat-Bulk, functional PBE.

Summary:
V   37.25 Å³ per atom

abc: 11.4671 11.4671 8.4192
angles: 47.08 47.08 90.00
Fractional positions:
Ru1 0.0000 0.0000 0.0000
Ru2 0.7500 0.2500 0.5000
Mn1 0.5000 0.5000 0.0000
Mn2 0.2500 0.7500 0.5000
Sr1 0.8094 0.1250 0.2500
Sr2 0.9406 0.6250 0.2500
Sr3 0.3750 0.1906 0.7500
Sr4 0.8750 0.0594 0.7500

***

A relaxed Sr2MnRu crystal. Source: Alexandria via LeMat-Bulk, functional PBE.

Summary:
V   26.86 Å³ per atom

abc: 3.7286 3.6677 8.6717
angles: 64.97 90.00 90.00
Fractional positions:
Mn1 0.5000 0.2500 0.2500
Ru1 0.5000 0.7500 0.7500
Sr1 0.0000 0.0287 0.9709
Sr2 0.0000 0.4713 0.5291

***

A relaxed SrMn4Ru crystal. Source: Alexandria via LeMat-Bulk, functional PBE.

Summary:
V   14.77 Å³ per atom

abc: 5.0048 5.0048 5.0048
angles: 60.00 60.00 60.00
Fractional positions:
Sr1 0.0000 0.0000 0.0000
Mn1 0.8747 0.3751 0.3751
Mn2 0.3751 0.3751 0.8747
Mn3 0.3751 0.8747 0.3751
Mn4 0.3751 0.3751 0.3751
Ru1 0.7500 0.7500 0.7500

***

A relaxed SrMn2Ru crystal. Source: Alexandria via LeMat-Bulk, functional PBE.

Summary:
V   20.49 Å³ per atom

abc: 5.8327 5.8327 5.8327
angles: 148.29 127.48 62.66
Fractional positions:
Mn1 0.9541 0.9541 0.0000
Mn2 0.5459 0.5459 0.0000
Ru1 0.7500 0.2500 0.5000
Sr1 0.2500 0.7500 0.5000

***

A relaxed SrMnRu2 crystal. Source: Alexandria via LeMat-Bulk, functional PBE.

Summary:
V   17.42 Å³ per atom

abc: 9.1760 9.1760 9.1760
angles: 18.74 18.74 18.74
Fractional positions:
Mn1 0.7500 0.7500 0.7500
Ru1 0.0135 0.0135 0.0135
Ru2 0.4865 0.4865 0.4865
Sr1 0.2500 0.2500 0.2500

***

A relaxed SrMn2Ru crystal. Source: Alexandria via LeMat-Bulk, functional PBE.

Summary:
V   19.38 Å³ per atom

abc: 9.5954 9.5954 9.5954
angles: 18.48 18.48 18.48
Fractional positions:
Mn1 0.9835 0.9835 0.9835
Mn2 0.5165 0.5165 0.5165
Ru1 0.2500 0.2500 0.2500
Sr1 0.7500 0.7500 0.7500

***

A relaxed SrMnRu2 crystal. Source: Alexandria via LeMat-Bulk, functional PBE.

Summary:
V   17.82 Å³ per atom

abc: 3.1014 3.1014 7.4100
angles: 90.00 90.00 90.00
Fractional positions:
Mn1 0.5000 0.5000 0.7500
Ru1 0.0000 0.0000 0.9323
Ru2 0.0000 0.0000 0.5677
Sr1 0.5000 0.5000 0.2500

***

A relaxed SrMn2Ru2 crystal. Source: Alexandria via LeMat-Bulk, functional PBE.

Summary:
V   17.66 Å³ per atom

abc: 4.1885 4.1885 5.8406
angles: 68.99 68.99 90.00
Fractional positions:
Ru1 0.3618 0.3618 0.2764
Ru2 0.6382 0.6382 0.7236
Mn1 0.7500 0.2500 0.5000
Mn2 0.2500 0.7500 0.5000
Sr1 0.0000 0.0000 0.0000

***

A relaxed SrMn2Ru crystal. Source: Alexandria via LeMat-Bulk, functional PBE.

Summary:
V   18.48 Å³ per atom

abc: 4.7550 4.7550 3.3460
angles: 90.00 90.00 102.26
Fractional positions:
Mn1 0.0000 0.0000 0.0000
Mn2 0.5000 0.5000 0.0000
Ru1 0.5000 0.0000 0.5000
Sr1 0.0000 0.5000 0.5000

***

A relaxed SrMnRu2 crystal. Source: Alexandria via LeMat-Bulk, functional PBE.

Summary:
V   17.52 Å³ per atom

abc: 5.4742 5.4742 2.8528
angles: 77.57 77.57 116.16
Fractional positions:
Mn1 0.0000 0.5000 0.5000
Ru1 0.0000 0.0000 0.0000
Ru2 0.5000 0.5000 0.0000
Sr1 0.5000 0.0000 0.5000

***

A relaxed SrMnRu2 crystal. Source: Alexandria via LeMat-Bulk, functional PBE.

Summary:
V   18.61 Å³ per atom

abc: 5.7639 5.7639 5.7639
angles: 149.61 129.18 60.37
Fractional positions:
Mn1 0.2178 0.7178 0.5000
Ru1 0.9945 0.9945 0.0000
Ru2 0.7830 0.2830 0.5000
Sr1 0.5047 0.5047 0.0000

***

A relaxed SrMnRu2 crystal. Source: Alexandria via LeMat-Bulk, functional PBE.

Summary:
V   17.90 Å³ per atom

abc: 5.1367 5.1367 2.8639
angles: 90.00 90.00 108.70
Fractional positions:
Mn1 0.0000 0.5000 0.5000
Ru1 0.0000 0.0000 0.0000
Ru2 0.5000 0.5000 0.0000
Sr1 0.5000 0.0000 0.5000

***

A relaxed SrMnRu2 crystal. Source: Alexandria via LeMat-Bulk, functional PBE.

Summary:
V   22.29 Å³ per atom

abc: 4.3129 4.3129 6.0681
angles: 69.21 69.21 60.00
Fractional positions:
Mn1 0.2500 0.2500 0.2500
Ru1 0.9384 0.9384 0.1847
Ru2 0.5616 0.5616 0.3153
Sr1 0.7500 0.7500 0.7500

***

A relaxed SrMnRu4 crystal. Source: Alexandria via LeMat-Bulk, functional PBE.

Summary:
V   17.54 Å³ per atom

abc: 5.2995 5.2995 5.2995
angles: 60.00 60.00 60.00
Fractional positions:
Sr1 0.7500 0.7500 0.7500
Mn1 0.0000 0.0000 0.0000
Ru1 0.8778 0.3741 0.3741
Ru2 0.3741 0.3741 0.8778
Ru3 0.3741 0.8778 0.3741
Ru4 0.3741 0.3741 0.3741

***

A relaxed SrMnRu2 crystal. Source: Alexandria via LeMat-Bulk, functional PBE.

Summary:
V   23.69 Å³ per atom

abc: 4.9442 4.9442 8.5045
angles: 73.10 73.10 90.00
Fractional positions:
Ru1 0.3754 0.1250 0.2500
Ru2 0.3746 0.6250 0.2500
Ru3 0.3750 0.6246 0.7500
Ru4 0.8750 0.6254 0.7500
Mn1 0.5000 0.5000 0.0000
Mn2 0.2500 0.7500 0.5000
Sr1 0.0000 0.0000 0.0000
Sr2 0.7500 0.2500 0.5000

***

A relaxed SrMnRu2 crystal. Source: Alexandria via LeMat-Bulk, functional PBE.

Summary:
V   19.44 Å³ per atom

abc: 4.2690 2.9340 6.3770
angles: 76.76 90.00 90.00
Fractional positions:
Mn1 0.5000 0.9009 0.8211
Ru1 0.0000 0.8038 0.0247
Ru2 0.5000 0.2386 0.1491
Sr1 0.0000 0.5568 0.5051

***

A relaxed SrMn2Ru crystal. Source: Alexandria via LeMat-Bulk, functional PBE.

Summary:
V   18.12 Å³ per atom

abc: 4.0190 2.8185 6.7155
angles: 72.36 90.00 90.00
Fractional positions:
Mn1 0.0000 0.9170 0.1011
Mn2 0.0000 0.5830 0.3989
Ru1 0.5000 0.2500 0.2500
Sr1 0.5000 0.7500 0.7500

***

A relaxed SrMnRu3 crystal. Source: Alexandria via LeMat-Bulk, functional PBE.

Summary:
V   18.80 Å³ per atom

abc: 4.5469 4.5469 4.5469
angles: 90.00 90.00 90.00
Fractional positions:
Ru1 0.0000 0.5000 0.0000
Ru2 0.0000 0.0000 0.5000
Ru3 0.5000 0.0000 0.0000
Mn1 0.0000 0.0000 0.0000
Sr1 0.5000 0.5000 0.5000

***

A relaxed SrMn2Ru crystal. Source: Alexandria via LeMat-Bulk, functional PBE.

Summary:
V   19.22 Å³ per atom

abc: 4.2813 4.3050 4.1717
angles: 90.00 90.00 90.00
Fractional positions:
Mn1 0.0000 0.0000 0.0000
Mn2 0.5000 0.5000 0.0000
Ru1 0.5000 0.0000 0.5000
Sr1 0.0000 0.5000 0.5000

***

A relaxed Sr2MnRu crystal. Source: Alexandria via LeMat-Bulk, functional PBE.

Summary:
V   28.18 Å³ per atom

abc: 10.0864 10.0864 10.0864
angles: 20.74 20.74 20.74
Fractional positions:
Mn1 0.2500 0.2500 0.2500
Ru1 0.7500 0.7500 0.7500
Sr1 0.0117 0.0117 0.0117
Sr2 0.4883 0.4883 0.4883

***

A relaxed SrMn2Ru crystal. Source: Alexandria via LeMat-Bulk, functional PBE.

Summary:
V   18.40 Å³ per atom

abc: 3.0918 3.0918 7.7007
angles: 90.00 90.00 90.00
Fractional positions:
Mn1 0.0000 0.0000 0.0733
Mn2 0.5000 0.5000 0.2656
Ru1 0.0000 0.0000 0.4290
Sr1 0.5000 0.5000 0.7321

***

A relaxed Sr2MnRu crystal. Source: Alexandria via LeMat-Bulk, functional PBE.

Summary:
V   29.17 Å³ per atom

abc: 4.1631 4.7976 6.3148
angles: 67.68 90.00 90.00
Fractional positions:
Mn1 0.0000 0.6750 0.5247
Ru1 0.5000 0.5749 0.7253
Sr1 0.0000 0.9840 0.9073
Sr2 0.5000 0.2661 0.3428

***

A relaxed SrMn2Ru crystal. Source: Alexandria via LeMat-Bulk, functional PBE.

Summary:
V   22.25 Å³ per atom

abc: 4.2982 4.2982 6.0919
angles: 69.33 69.33 60.00
Fractional positions:
Mn1 0.0529 0.0529 0.8415
Mn2 0.4471 0.4471 0.6585
Ru1 0.7500 0.7500 0.7500
Sr1 0.2500 0.2500 0.2500

***

A relaxed SrMn3Ru crystal. Source: Alexandria via LeMat-Bulk, functional PBE.

Summary:
V   23.30 Å³ per atom

abc: 4.8839 4.8839 4.8839
angles: 90.00 90.00 90.00
Fractional positions:
Ru1 0.0000 0.0000 0.0000
Mn1 0.0000 0.5000 0.0000
Mn2 0.0000 0.0000 0.5000
Mn3 0.5000 0.0000 0.0000
Sr1 0.5000 0.5000 0.5000

***

A relaxed SrMn2Ru crystal. Source: Alexandria via LeMat-Bulk, functional PBE.

Summary:
V   19.77 Å³ per atom

abc: 3.2135 3.2121 7.6615
angles: 90.00 90.00 90.00
Fractional positions:
Mn1 0.0000 0.0000 0.0766
Mn2 0.0000 0.0000 0.4234
Ru1 0.5000 0.5000 0.2500
Sr1 0.5000 0.5000 0.7500

***

A relaxed SrMn3Ru crystal. Source: Alexandria via LeMat-Bulk, functional PBE.

Summary:
V   21.21 Å³ per atom

abc: 4.7336 4.7336 4.7336
angles: 90.00 90.00 90.00
Fractional positions:
Ru1 0.5000 0.5000 0.5000
Mn1 0.0000 0.5000 0.0000
Mn2 0.0000 0.0000 0.5000
Mn3 0.5000 0.0000 0.0000
Sr1 0.0000 0.0000 0.0000

***

no.,ΔH_f (0 K) (eV per atom),ρ (Mg/m³)
1,0.49,7.3
2,0.22,4.6
3,0.78,8.0
4,0.99,8.7
5,0.54,3.7
6,0.70,5.1
7,0.70,7.7
8,0.66,6.1
9,0.74,8.2
10,0.86,6.4
11,0.43,8.0
12,0.36,7.5
13,0.79,6.7
14,0.82,8.2
15,0.66,7.7
16,0.84,8.0
17,0.31,6.4
18,0.49,8.6
19,0.85,6.0
20,0.57,7.4
21,0.73,6.8
22,0.77,7.9
23,0.79,6.4
24,0.88,4.9
25,0.51,6.7
26,0.32,4.7
27,0.36,5.6
28,0.67,5.0
29,0.48,6.3
30,2.42,5.5